# 1
A relaxed SrAg2Pt crystal, computed with GGA-PBE.

a = 10.571 Å, b = 10.571 Å, c = 10.571 Å
α = 156.11°, β = 156.11°, γ = 34.04°
Fractional coordinates of all 8 atoms:
Sr (0.000, 0.000, 0.000)
Sr (0.750, 0.250, 0.500)
Ag (0.197, 0.625, 0.072)
Ag (0.375, 0.447, 0.572)
Ag (0.553, 0.125, 0.928)
Ag (0.875, 0.803, 0.428)
Pt (0.250, 0.750, 0.500)
Pt (0.500, 0.500, 0.000)

Values from the calculation:
The calculated density is 8.55 g cm⁻³. For the distance to the lowest polymorph of the same formula, the calculation gives 179 meV/atom. The calculation puts the density of states at the Fermi level at 0.24 states/eV/atom. The calculation puts the energy of formation from the pure elements at -146 meV/atom. Its uncorrected energy is -3.502 eV/atom. As for the space-group type: I-42d.

=====

# 2
A relaxed SrAgPt2 crystal, computed with GGA-PBE.

a = 4.859 Å, b = 4.859 Å, c = 4.859 Å
α = 60.00°, β = 60.00°, γ = 60.00°
Fractional coordinates of all 4 atoms:
Sr (0.000, 0.000, 0.000)
Ag (0.250, 0.250, 0.250)
Pt (0.500, 0.500, 0.500)
Pt (0.750, 0.750, 0.750)

Values from the calculation:
The calculated density is 11.99 g cm⁻³. The calculation puts the density of states at the Fermi level at 0.49 states/eV/atom. The calculation puts the energy of formation from the pure elements at -189 meV/atom. Its uncorrected energy is -4.343 eV/atom. As for the space-group type: F-43m.